LaAs2Pb: optimized geometry, PBE.

Cell and atoms, written as POSCAR:
```
LaAs2Pb
1.0
4.458 0.000 0.000
0.000 4.139 0.000
0.000 0.000 11.868
La As Pb
2 4 2
Direct
0.000 0.000 0.000
0.000 0.500 0.500
0.000 0.000 0.711
0.000 0.500 0.211
0.500 0.000 0.474
0.500 0.500 0.974
0.500 0.000 0.244
0.500 0.500 0.744
```

Calculated values
* DOS(E_F): 0.667 states/eV per atom
* total energy: -5.18 eV per atom
* energy above the most stable polymorph in this dataset: 0 meV per atom
* volume: 109.49 Å³/f.u.
* calculated density: 7.5 g/cm³
* space group: Amm2



PmPu2Ge2Pd2: optimized geometry, PBE.

Cell and atoms, written as POSCAR:
```
PmPu2Ge2Pd2
1.0
2.107 1.216 8.859
-2.107 1.216 8.859
0.000 -2.433 8.859
Pm Pu Ge Pd
1 2 2 2
Direct
0.000 0.000 0.000
0.154 0.154 0.154
0.846 0.846 0.846
0.264 0.264 0.264
0.736 0.736 0.736
0.426 0.426 0.426
0.574 0.574 0.574
```

Calculated values
* DOS(E_F): 1.381 states/eV per atom
* total energy: -8.01 eV per atom
* volume: 136.23 Å³/f.u.
* calculated density: 12.1 g/cm³
* space group: R-3m



DyThSi3: optimized geometry, PBE.

Cell and atoms, written as POSCAR:
```
DyThSi3
1.0
2.119 -12.290 0.000
2.119 12.290 0.000
0.000 0.000 4.013
Dy Th Si
2 2 6
Direct
0.202 0.798 0.750
0.798 0.202 0.250
0.071 0.929 0.250
0.929 0.071 0.750
0.322 0.678 0.750
0.380 0.620 0.250
0.476 0.524 0.250
0.524 0.476 0.750
0.620 0.380 0.750
0.678 0.322 0.250
```

Calculated values
* DOS(E_F): 0.562 states/eV per atom
* total energy: -6.36 eV per atom
* E_form (uncorrected): -0.702 eV per atom
* volume: 104.52 Å³/f.u.
* calculated density: 7.6 g/cm³
* space group: Cmcm



Tm2ZnGe4Pd3: optimized geometry, PBE.

Cell and atoms, written as POSCAR:
```
Tm2ZnGe4Pd3
1.0
4.029 0.000 0.000
0.000 4.029 0.000
0.000 0.000 11.266
Tm Zn Ge Pd
2 1 4 3
Direct
0.000 0.500 0.236
0.500 0.000 0.764
0.500 0.500 0.000
0.000 0.000 0.500
0.000 0.500 0.859
0.500 0.000 0.141
0.500 0.500 0.500
0.000 0.000 0.000
0.000 0.500 0.643
0.500 0.000 0.357
```

Calculated values
* DOS(E_F): 0.393 states/eV per atom
* total energy: -5.09 eV per atom
* volume: 182.89 Å³/f.u.
* calculated density: 9.2 g/cm³
* space group: P-4m2



Question: Which formula does entry 3 have?
Answer: DyThSi3